Ac5La6Tb2 | PBE | optimized geometry

Results
Final energy, Ry per atom: -0.329
Energy of formation from the pure elements, eV/atom: 0.09
DOS(E_F), states/eV per atom: 1.31

Lattice parameters (Å, degrees): 12.1018 22.3321 3.8267 90.00 90.00 90.00
Space group Pbam (No. 55)
One atom of each set of equivalent atoms:
Ac 0.0000 0.0000 0.0000 [2 per cell]
Ac 0.0526 0.2900 0.0000 [4 per cell]
Ac 0.1918 0.5800 0.0000 [4 per cell]
La 0.0571 0.1447 0.5000 [4 per cell]
La 0.0860 0.4379 0.5000 [4 per cell]
La 0.1867 0.8697 0.0000 [4 per cell]
Tb 0.2065 0.7323 0.5000 [4 per cell]